(1)
{"formula": "Nd5Sm2In5", "functional": "PBE", "state": "relaxed", "cell": [[5.8718, -2.6571, 0.0000], [5.8718, 2.6571, 0.0000], [-4.0241, 0.0000, 11.6170]], "species": ["Nd", "Nd", "Nd", "Nd", "Nd", "Sm", "Sm", "In", "In", "In", "In", "In"], "fractional_positions": [[0.0000, 0.0000, 0.0000], [0.1338, 0.1338, 0.7753], [0.1550, 0.1550, 0.5020], [0.8450, 0.8450, 0.4980], [0.8662, 0.8662, 0.2247], [0.4311, 0.4311, 0.7428], [0.5689, 0.5689, 0.2572], [0.2325, 0.2325, 0.2708], [0.3258, 0.3258, 0.0380], [0.5000, 0.5000, 0.5000], [0.6742, 0.6742, 0.9620], [0.7675, 0.7675, 0.7292]], "ef_ev_per_atom": -0.318, "spacegroup": "C2/m (12)", "vol_a3_per_cell": 362.5, "final_energy_ev_per_atom": -4.23, "total_magnetization_mub_per_fu": 0.0}



(2)
{"formula": "Hf2BeSiHg", "functional": "PBE", "state": "relaxed", "cell": [[5.0013, 0.0000, 0.0000], [0.0000, 5.0013, 0.0000], [0.0000, 0.0000, 4.0214]], "species": ["Hf", "Hf", "Be", "Si", "Hg"], "fractional_positions": [[0.0000, 0.5000, 0.0000], [0.5000, 0.0000, 0.0000], [0.0000, 0.0000, 0.5000], [0.0000, 0.0000, 0.0000], [0.5000, 0.5000, 0.5000]], "spacegroup": "P4/mmm (123)", "vol_a3_per_cell": 100.6, "final_energy_ev_per_atom": -5.60, "total_magnetization_mub_per_fu": 0.0, "e_form_raw_ev_per_atom": 0.27}



Copy entry 2 word for word.
{"formula": "Hf2BeSiHg", "functional": "PBE", "state": "relaxed", "cell": [[5.0013, 0.0000, 0.0000], [0.0000, 5.0013, 0.0000], [0.0000, 0.0000, 4.0214]], "species": ["Hf", "Hf", "Be", "Si", "Hg"], "fractional_positions": [[0.0000, 0.5000, 0.0000], [0.5000, 0.0000, 0.0000], [0.0000, 0.0000, 0.5000], [0.0000, 0.0000, 0.0000], [0.5000, 0.5000, 0.5000]], "spacegroup": "P4/mmm (123)", "vol_a3_per_cell": 100.6, "final_energy_ev_per_atom": -5.60, "total_magnetization_mub_per_fu": 0.0, "e_form_raw_ev_per_atom": 0.27}